This record from Alexandria describes Mg6GaW after structural relaxation. The functional is PBE-GGA.

Summary:
Fermi-level density of states ... 0.678 states/eV/atom
Calculated total energy ... -2.96 eV/atom
Symmetry ... Amm2 (38)
Crystal system ... orthorhombic
Calculated formation energy ... 229.2 meV/atom

Lattice parameters (Å, degrees): 6.110 6.110 4.952 90.00 90.00 122.88
Site moments in Bohr magnetons follow the coordinates.
Sites, in units of the cell vectors:
1 Ga 0.330 0.670 0.500  0.00
2 Mg 0.678 0.843 0.000  0.01
3 Mg 0.827 0.671 0.500  0.00
4 Mg 0.329 0.173 0.500  0.00
5 Mg 0.176 0.824 0.000  0.01
6 Mg 0.157 0.322 0.000  0.01
7 Mg 0.677 0.323 0.000  0.00
8 W 0.826 0.174 0.500  0.35